A plane-wave DFT calculation with GGA+U was carried out for a relaxed HoMgCr2O6 crystal.

a = 7.573 Å, b = 5.409 Å, c = 5.162 Å
α = 90.00°, β = 90.00°, γ = 90.00°
Sites, in units of the cell vectors:
Ho1 0.000 0.181 0.000
Ho2 0.500 0.819 0.500
Mg1 0.000 0.695 0.475
Mg2 0.500 0.305 0.975
Cr1 0.250 0.257 0.486
Cr2 0.250 0.743 0.986
Cr3 0.750 0.257 0.486
Cr4 0.750 0.743 0.986
O1 0.000 0.312 0.596
O2 0.000 0.789 0.860
O3 0.189 0.448 0.180
O4 0.190 0.938 0.304
O5 0.310 0.062 0.804
O6 0.311 0.552 0.680
O7 0.500 0.211 0.360
O8 0.500 0.688 0.096
O9 0.689 0.552 0.680
O10 0.690 0.062 0.804
O11 0.810 0.938 0.304
O12 0.811 0.448 0.180

Output
Space group   Pmn2_1 (31)
VASP energy   -7.47 eV/atom